1.
The following is a GGA-PBE calculation of a relaxed structure of Ca4VSn3N8, from Alexandria via LeMat-Bulk.

It has space group R-3m (No. 166, hexagonal axes), with a = 6.5911 Å, b = 6.5911 Å, c = 16.5162 Å, α = 90.00°, β = 90.00° and γ = 120.00°. The distinct sites, in fractional coordinates, are Ca at (0.0000, 0.0000, 0.0000), Ca at (0.0000, 0.5000, 0.0000), V at (0.0000, 0.0000, 0.5000), Sn at (0.0000, 0.5000, 0.5000), N at (0.0000, 0.0000, 0.2384) and N at (0.0155, 0.5078, 0.2382).

As for the formation energy without anion corrections: -7.95 eV/f.u. As for the magnetic moment: 1.0 μB/f.u.

---

2.
The following is a GGA-PBE calculation of a relaxed structure of Ca2YSnN, from Alexandria via LeMat-Bulk.

It has space group P4/mmm (No. 123), with a = 4.862 Å, b = 4.862 Å, c = 4.841 Å, α = 90.00°, β = 90.00° and γ = 90.00°. The distinct sites, in fractional coordinates, are Ca at (0.000, 0.500, 0.000), Y at (0.000, 0.000, 0.500), Sn at (0.500, 0.500, 0.500) and N at (0.000, 0.000, 0.000).

As for the formation energy without anion corrections: -5.07 eV/f.u. As for the magnetic moment: 0.0 μB/f.u.

---

3.
The following is a GGA-PBE calculation of a relaxed structure of CaY2SnN4, from Alexandria via LeMat-Bulk.

It has space group Cmcm (No. 63), with a = 3.446 Å, b = 11.948 Å, c = 12.240 Å, α = 90.00°, β = 90.00° and γ = 90.00°. The distinct sites, in fractional coordinates, are Ca at (0.000, 0.119, 0.250), Y at (0.000, 0.370, 0.028), Sn at (0.000, 0.146, 0.750), N at (0.000, 0.000, 0.000), N at (0.000, 0.255, 0.619) and N at (0.000, 0.457, 0.250).

As for the formation energy without anion corrections: -7.09 eV/f.u. As for the magnetic moment: 0.0 μB/f.u.

---

4.
The following is a GGA-PBE calculation of a relaxed structure of Ca2ZrSnN4, from Alexandria via LeMat-Bulk.

It has space group P2/m (No. 10), with a = 5.815 Å, b = 3.319 Å, c = 5.985 Å, α = 90.00°, β = 110.00° and γ = 90.00°. The distinct sites, in fractional coordinates, are Ca at (0.000, 0.000, 0.000), Ca at (0.500, 0.500, 0.000), Zr at (0.000, 0.500, 0.500), Sn at (0.500, 0.000, 0.500), N at (0.230, 0.000, 0.723) and N at (0.262, 0.500, 0.284).

As for the formation energy without anion corrections: -7.27 eV/f.u. As for the magnetic moment: 0.0 μB/f.u.

---

5.
The following is a GGA-PBE calculation of a relaxed structure of Sr3CaN, from Alexandria via LeMat-Bulk.

It has space group Pm-3m (No. 221), with a = 6.596 Å, b = 6.596 Å, c = 6.596 Å, α = 90.00°, β = 90.00° and γ = 90.00°. The distinct sites, in fractional coordinates, are Sr at (0.000, 0.000, 0.500), Ca at (0.000, 0.000, 0.000) and N at (0.500, 0.500, 0.500).

As for the formation energy without anion corrections: 8.90 eV/f.u. As for the magnetic moment: 2.4 μB/f.u. As for the relative energy among the computed polymorphs: 2.0405 eV per atom.

---

6.
The following is a GGA-PBE calculation of a relaxed structure of SrCa2N3, from Alexandria via LeMat-Bulk.

It has space group Imma (No. 74), with a = 5.811 Å, b = 10.489 Å, c = 7.528 Å, α = 90.00°, β = 90.00° and γ = 90.00°. The distinct sites, in fractional coordinates, are Sr at (0.000, 0.250, 0.039), Ca at (0.000, 0.090, 0.670), N at (0.113, 0.000, 0.000) and N at (0.250, 0.250, 0.750).

As for the formation energy without anion corrections: -2.60 eV/f.u. As for the magnetic moment: 0.9 μB/f.u.

---

7.
The following is a GGA-PBE calculation of a relaxed structure of SrCa2N2, from Alexandria via LeMat-Bulk.

It has space group I4/mmm (No. 139), with a = 4.602 Å, b = 4.602 Å, c = 9.874 Å, α = 90.00°, β = 90.00° and γ = 90.00°. The distinct sites, in fractional coordinates, are Sr at (0.000, 0.000, 0.000), Ca at (0.000, 0.000, 0.313) and N at (0.000, 0.500, 0.250).

As for the formation energy without anion corrections: -1.14 eV/f.u. As for the magnetic moment: 0.0 μB/f.u. As for the relative energy among the computed polymorphs: 0.4308 eV per atom.

---

8.
The following is a GGA-PBE calculation of a relaxed structure of Sr3CaN, from Alexandria via LeMat-Bulk.

It has space group Pmma (No. 51), with a = 7.830 Å, b = 5.464 Å, c = 8.447 Å, α = 90.00°, β = 90.00° and γ = 90.00°. The distinct sites, in fractional coordinates, are Sr at (0.000, 0.000, 0.210), Sr at (0.250, 0.500, 0.000), Ca at (0.250, 0.500, 0.500) and N at (0.250, 0.000, 0.000).

As for the formation energy without anion corrections: -1.30 eV/f.u. As for the magnetic moment: 0.0 μB/f.u. As for the relative energy among the computed polymorphs: 0.0000 eV per atom.

---

9.
The following is a GGA-PBE calculation of a relaxed structure of Sr3CaN, from Alexandria via LeMat-Bulk.

It has space group Pm-3m (No. 221), with a = 5.535 Å, b = 5.535 Å, c = 5.535 Å, α = 90.00°, β = 90.00° and γ = 90.00°. The distinct sites, in fractional coordinates, are Sr at (0.000, 0.000, 0.500), Ca at (0.500, 0.500, 0.500) and N at (0.000, 0.000, 0.000).

As for the formation energy without anion corrections: -0.83 eV/f.u. As for the magnetic moment: 0.0 μB/f.u. As for the relative energy among the computed polymorphs: 0.0939 eV per atom.

---

10.
The following is a GGA-PBE calculation of a relaxed structure of SrCa3N, from Alexandria via LeMat-Bulk.

It has space group Pm-3m (No. 221), with a = 5.255 Å, b = 5.255 Å, c = 5.255 Å, α = 90.00°, β = 90.00° and γ = 90.00°. The distinct sites, in fractional coordinates, are Sr at (0.000, 0.000, 0.000), Ca at (0.000, 0.500, 0.500) and N at (0.500, 0.500, 0.500).

As for the formation energy without anion corrections: -0.94 eV/f.u. As for the magnetic moment: 0.0 μB/f.u. As for the relative energy among the computed polymorphs: 0.1942 eV per atom.

---

11.
The following is a GGA-PBE calculation of a relaxed structure of SrCa2N2, from Alexandria via LeMat-Bulk.

It has space group Pmmn (No. 59, origin choice 2), with a = 3.767 Å, b = 14.522 Å, c = 3.488 Å, α = 90.00°, β = 90.00° and γ = 90.00°. The distinct sites, in fractional coordinates, are Sr at (0.250, 0.250, 0.041), Ca at (0.250, 0.569, 0.736) and N at (0.250, 0.101, 0.699).

As for the formation energy without anion corrections: -2.45 eV/f.u. As for the magnetic moment: 0.0 μB/f.u. As for the relative energy among the computed polymorphs: 0.1671 eV per atom.

---

12.
The following is a GGA-PBE calculation of a relaxed structure of SrCaN3, from Alexandria via LeMat-Bulk.

It has space group Pm-3m (No. 221), with a = 4.533 Å, b = 4.533 Å, c = 4.533 Å, α = 90.00°, β = 90.00° and γ = 90.00°. The distinct sites, in fractional coordinates, are Sr at (0.000, 0.000, 0.000), Ca at (0.500, 0.500, 0.500) and N at (0.000, 0.000, 0.500).

As for the formation energy without anion corrections: 6.77 eV/f.u. As for the magnetic moment: 3.5 μB/f.u.

---

13.
The following is a GGA-PBE calculation of a relaxed structure of SrCa3N, from Alexandria via LeMat-Bulk.

It has space group Pm-3m (No. 221), with a = 6.366 Å, b = 6.366 Å, c = 6.366 Å, α = 90.00°, β = 90.00° and γ = 90.00°. The distinct sites, in fractional coordinates, are Sr at (0.000, 0.000, 0.000), Ca at (0.000, 0.000, 0.500) and N at (0.500, 0.500, 0.500).

As for the formation energy without anion corrections: 10.41 eV/f.u. As for the magnetic moment: 3.0 μB/f.u. As for the relative energy among the computed polymorphs: 2.4638 eV per atom.

---

14.
The following is a GGA-PBE calculation of a relaxed structure of Sr2Ca2N, from Alexandria via LeMat-Bulk.

It has space group P4/mbm (No. 127), with a = 6.964 Å, b = 6.964 Å, c = 7.270 Å, α = 90.00°, β = 90.00° and γ = 90.00°. The distinct sites, in fractional coordinates, are Sr at (0.186, 0.314, 0.000), Ca at (0.214, 0.714, 0.500) and N at (0.000, 0.000, 0.500).

As for the formation energy without anion corrections: 0.76 eV/f.u. As for the magnetic moment: 0.0 μB/f.u. As for the relative energy among the computed polymorphs: 0.0000 eV per atom.

---

15.
The following is a GGA-PBE calculation of a relaxed structure of SrCaN3, from Alexandria via LeMat-Bulk.

It has space group Pm-3m (No. 221), with a = 4.487 Å, b = 4.487 Å, c = 4.487 Å, α = 90.00°, β = 90.00° and γ = 90.00°. The distinct sites, in fractional coordinates, are Sr at (0.000, 0.000, 0.000), Ca at (0.500, 0.500, 0.500) and N at (0.000, 0.500, 0.500).

As for the formation energy without anion corrections: 4.68 eV/f.u. As for the magnetic moment: 5.0 μB/f.u.

---

16.
The following is a GGA-PBE calculation of a relaxed structure of SrCa3N, from Alexandria via LeMat-Bulk.

It has space group P2_1/c (No. 14), with a = 11.212 Å, b = 6.591 Å, c = 8.877 Å, α = 90.00°, β = 98.39° and γ = 90.00°. The distinct sites, in fractional coordinates, are Sr at (0.076, 0.173, 0.188), Ca at (0.242, 0.654, 0.065), Ca at (0.362, 0.087, 0.950), Ca at (0.454, 0.569, 0.825) and N at (0.444, 0.737, 0.565).

As for the formation energy without anion corrections: -1.91 eV/f.u. As for the magnetic moment: 0.0 μB/f.u. As for the relative energy among the computed polymorphs: 0.0000 eV per atom.

---

17.
The following is a GGA-PBE calculation of a relaxed structure of Sr2Ca2N, from Alexandria via LeMat-Bulk.

It has space group I4/mmm (No. 139), with a = 4.184 Å, b = 4.184 Å, c = 19.690 Å, α = 90.00°, β = 90.00° and γ = 90.00°. The distinct sites, in fractional coordinates, are Sr at (0.000, 0.500, 0.250), Ca at (0.000, 0.000, 0.075) and N at (0.000, 0.000, 0.500).

As for the formation energy without anion corrections: 5.50 eV/f.u. As for the magnetic moment: 0.0 μB/f.u. As for the relative energy among the computed polymorphs: 0.9478 eV per atom.

---

18.
The following is a GGA-PBE calculation of a relaxed structure of SrCa2N2, from Alexandria via LeMat-Bulk.

It has space group P-3m1 (No. 164), with a = 3.9778 Å, b = 3.9778 Å, c = 6.9154 Å, α = 90.00°, β = 90.00° and γ = 120.00°. The distinct sites, in fractional coordinates, are Sr at (0.0000, 0.0000, 0.0000), Ca at (0.3333, 0.6667, 0.3502) and N at (0.3333, 0.6667, 0.7460).

As for the formation energy without anion corrections: -3.29 eV/f.u. As for the magnetic moment: 0.0 μB/f.u. As for the relative energy among the computed polymorphs: 0.0000 eV per atom.

---

19.
The following is a GGA-PBE calculation of a relaxed structure of SrCaN, from Alexandria via LeMat-Bulk.

It has space group P2_1/m (No. 11), with a = 6.462 Å, b = 3.733 Å, c = 7.217 Å, α = 90.00°, β = 110.59° and γ = 90.00°. The distinct sites, in fractional coordinates, are Sr at (0.002, 0.250, 0.292), Ca at (0.487, 0.250, 0.681) and N at (0.260, 0.750, 0.502).

As for the formation energy without anion corrections: -1.94 eV/f.u. As for the magnetic moment: 0.0 μB/f.u. As for the relative energy among the computed polymorphs: 0.0051 eV per atom.

---

20.
The following is a GGA-PBE calculation of a relaxed structure of SrCaN, from Alexandria via LeMat-Bulk.

It has space group P-6m2 (No. 187), with a = 3.6286 Å, b = 3.6286 Å, c = 13.6809 Å, α = 90.00°, β = 90.00° and γ = 120.00°. The distinct sites, in fractional coordinates, are Sr at (0.0000, 0.0000, 0.1080), Ca at (0.6667, 0.3333, 0.4009), N at (0.0000, 0.0000, 0.5000) and N at (0.6667, 0.3333, 0.0000).

As for the formation energy without anion corrections: -1.29 eV/f.u. As for the magnetic moment: 0.0 μB/f.u. As for the relative energy among the computed polymorphs: 0.2219 eV per atom.

---

Number 1: raw total energy -6.480 eV/atom. Number 2: raw total energy -5.574 eV/atom. Number 3: raw total energy -7.415 eV/atom. Number 4: raw total energy -7.140 eV/atom. Number 5: raw total energy -1.295 eV/atom. Number 6: raw total energy -5.543 eV/atom. Number 7: raw total energy -4.694 eV/atom. Number 8: raw total energy -3.335 eV/atom. Number 9: raw total energy -3.241 eV/atom. Number 10: raw total energy -3.391 eV/atom. Number 11: raw total energy -4.958 eV/atom. Number 12: raw total energy -4.377 eV/atom. Number 13: raw total energy -1.121 eV/atom. Number 14: raw total energy -2.986 eV/atom. Number 15: raw total energy -4.796 eV/atom. Number 16: raw total energy -3.585 eV/atom. Number 17: raw total energy -2.038 eV/atom. Number 18: raw total energy -5.125 eV/atom. Number 19: raw total energy -4.651 eV/atom. Number 20: raw total energy -4.434 eV/atom.